Entry 1:
Computed, not measured: Pm3Sm6Er after structural relaxation at the PBE level of DFT.

Calculated values
Final energy = -4.572 eV per atom
Formation energy from the elements = 136 kJ/mol of formula units
Magnetization = 0.00 μB/f.u.
Calculated volume = 33.9 Å³/atom

```
data_Pm3Sm6Er
_chemical_formula_sum 'Pm12 Sm24 Er4'
_cell_length_a 10.9601
_cell_length_b 19.1966
_cell_length_c 6.4521
_cell_angle_alpha 90.00
_cell_angle_beta 90.00
_cell_angle_gamma 90.00
_space_group_name_H-M_alt 'C m c 21'
_space_group_IT_number 36
loop_
_space_group_symop_operation_xyz
'x,y,z'
'-x,-y,z+1/2'
'-x,y,z'
'x,-y,z+1/2'
'x+1/2,y+1/2,z'
'-x+1/2,-y+1/2,z+1/2'
'-x+1/2,y+1/2,z'
'x+1/2,-y+1/2,z+1/2'
loop_
_atom_site_label
_atom_site_fract_x
_atom_site_fract_y
_atom_site_fract_z
_atom_site_occupancy
Pm1 0.0000 0.1141 0.0000 1
Pm2 0.1737 0.3846 0.6145 1
Sm1 0.0000 0.2245 0.4270 1
Sm2 0.0000 0.4640 0.2115 1
Sm3 0.1697 0.0433 0.5227 1
Sm4 0.2341 0.2092 0.7120 1
Er1 0.0000 0.3073 0.9600 1
```



Entry 2:
Computed, not measured: AcLaTb5Nd2 after structural relaxation at the PBE level of DFT.

Calculated values
Final energy = -4.407 eV per atom
Formation energy from the elements = 199 kJ/mol of formula units
Magnetization = 0.00 μB/f.u.
Calculated volume = 34.9 Å³/atom

```
data_AcLaTb5Nd2
_chemical_formula_sum 'Ac4 La4 Tb20 Nd8'
_cell_length_a 8.8729
_cell_length_b 8.8729
_cell_length_c 15.9539
_cell_angle_alpha 90.00
_cell_angle_beta 90.00
_cell_angle_gamma 90.00
_space_group_name_H-M_alt 'I 4/m c m'
_space_group_IT_number 140
_space_group_name_Hall '-I 4 2c'
loop_
_atom_site_label
_atom_site_fract_x
_atom_site_fract_y
_atom_site_fract_z
_atom_site_occupancy
Ac1 0.0000 0.0000 0.2500 1
La1 0.0000 0.5000 0.2500 1
Tb1 0.0000 0.0000 0.0000 1
Tb2 0.2042 0.2958 0.1317 1
Nd1 0.1184 0.3816 0.5000 1
```



Entry 3:
Computed, not measured: PmPr2NpAs4 after structural relaxation at the PBE level of DFT.

Calculated values
Final energy = -7.022 eV per atom
Formation energy from the elements = -996 kJ/mol of formula units
Magnetization = 3.75 μB/f.u.
Calculated volume = 26.9 Å³/atom

```
data_PmPr2NpAs4
_chemical_formula_sum 'Pm1 Pr2 Np1 As4'
_cell_length_a 7.3384
_cell_length_b 4.2329
_cell_length_c 7.3420
_cell_angle_alpha 90.00
_cell_angle_beta 109.31
_cell_angle_gamma 90.00
_space_group_name_H-M_alt 'P 1 2/m 1'
_space_group_IT_number 10
loop_
_space_group_symop_operation_xyz
'x,y,z'
'-x,-y,-z'
'-x,y,-z'
'x,-y,z'
loop_
_atom_site_label
_atom_site_fract_x
_atom_site_fract_y
_atom_site_fract_z
_atom_site_occupancy
Pm1 0.0000 0.0000 0.0000 1
Pr1 0.0000 0.5000 0.5000 1
Pr2 0.5000 0.0000 0.5000 1
Np1 0.5000 0.5000 0.0000 1
As1 0.2535 0.5000 0.2408 1
As2 0.2589 0.0000 0.7619 1
```



Entry 4:
Computed, not measured: Fe2NiSb after structural relaxation at the PBE level of DFT.

Calculated values
Final energy = -6.573 eV per atom
Magnetization = 5.02 μB/f.u.
Calculated volume = 14.0 Å³/atom
Formation energy without anion corrections = 0.13 eV/atom

```
data_Fe2NiSb
_chemical_formula_sum 'Fe2 Ni1 Sb1'
_cell_length_a 3.2051
_cell_length_b 3.2051
_cell_length_c 5.4552
_cell_angle_alpha 90.00
_cell_angle_beta 90.00
_cell_angle_gamma 90.00
_space_group_name_H-M_alt 'P 4 m m'
_space_group_IT_number 99
loop_
_space_group_symop_operation_xyz
'x,y,z'
'-y,x,z'
'-x,-y,z'
'y,-x,z'
'-x,y,z'
'y,x,z'
'x,-y,z'
'-y,-x,z'
loop_
_atom_site_label
_atom_site_fract_x
_atom_site_fract_y
_atom_site_fract_z
_atom_site_occupancy
Fe1 0.0000 0.0000 0.0000 1
Fe2 0.5000 0.5000 0.2153 1
Ni1 0.0000 0.0000 0.4615 1
Sb1 0.5000 0.5000 0.7160 1
```



Entry 5:
Computed, not measured: K4Sb2P3 after structural relaxation at the PBE level of DFT.

Calculated values
Final energy = -3.458 eV per atom
Magnetization = 0.00 μB/f.u.
Calculated volume = 35.3 Å³/atom
Formation energy without anion corrections = -0.25 eV/atom

```
data_K4Sb2P3
_chemical_formula_sum 'K16 Sb8 P12'
_cell_length_a 5.7314
_cell_length_b 12.2513
_cell_length_c 18.0829
_cell_angle_alpha 90.00
_cell_angle_beta 90.00
_cell_angle_gamma 90.00
_space_group_name_H-M_alt 'C m c 21'
_space_group_IT_number 36
loop_
_space_group_symop_operation_xyz
'x,y,z'
'-x,-y,z+1/2'
'-x,y,z'
'x,-y,z+1/2'
'x+1/2,y+1/2,z'
'-x+1/2,-y+1/2,z+1/2'
'-x+1/2,y+1/2,z'
'x+1/2,-y+1/2,z+1/2'
loop_
_atom_site_label
_atom_site_fract_x
_atom_site_fract_y
_atom_site_fract_z
_atom_site_occupancy
K1 0.0000 0.0709 0.0000 1
K2 0.0000 0.1149 0.3382 1
K3 0.0000 0.1871 0.7838 1
K4 0.0000 0.4199 0.0866 1
Sb1 0.0000 0.2658 0.5171 1
Sb2 0.0000 0.4084 0.3940 1
P1 0.0000 0.0192 0.1704 1
P2 0.1907 0.1755 0.1568 1
```



Entry 6:
Computed, not measured: NaNb2IN after structural relaxation at the PBE level of DFT.

Calculated values
Final energy = -6.182 eV per atom
Magnetization = 0.00 μB/f.u.
Calculated volume = 19.8 Å³/atom
Formation energy without anion corrections = 0.08 eV/atom

```
data_NaNb2IN
_chemical_formula_sum 'Na1 Nb2 I1 N1'
_cell_length_a 4.2122
_cell_length_b 4.2122
_cell_length_c 5.5767
_cell_angle_alpha 90.00
_cell_angle_beta 90.00
_cell_angle_gamma 90.00
_space_group_name_H-M_alt 'P 4/m m m'
_space_group_IT_number 123
_space_group_name_Hall '-P 4 2'
loop_
_atom_site_label
_atom_site_fract_x
_atom_site_fract_y
_atom_site_fract_z
_atom_site_occupancy
Na1 0.0000 0.0000 0.0000 1
Nb1 0.0000 0.5000 0.5000 1
I1 0.5000 0.5000 0.0000 1
N1 0.0000 0.0000 0.5000 1
```



Entry 7:
Computed, not measured: CeAuI6 after structural relaxation at the PBE level of DFT.

Calculated values
Final energy = -2.969 eV per atom
Magnetization = 0.58 μB/f.u.
Calculated volume = 47.5 Å³/atom
Formation energy without anion corrections = -0.65 eV/atom

```
data_CeAuI6
_chemical_formula_sum 'Ce1 Au1 I6'
_cell_length_a 6.6308
_cell_length_b 7.9518
_cell_length_c 8.5525
_cell_angle_alpha 64.84
_cell_angle_beta 69.58
_cell_angle_gamma 86.74
_space_group_name_H-M_alt 'P -1'
_space_group_IT_number 2
loop_
_space_group_symop_operation_xyz
'x,y,z'
'-x,-y,-z'
loop_
_atom_site_label
_atom_site_fract_x
_atom_site_fract_y
_atom_site_fract_z
_atom_site_occupancy
Ce1 0.0000 0.0000 0.0000 1
Au1 0.5000 0.5000 0.0000 1
I1 0.0220 0.8032 0.3735 1
I2 0.2891 0.3792 0.8309 1
I3 0.4144 0.8520 0.8042 1
```



Entry 8:
Computed, not measured: Tb3Pr4Dy2 after structural relaxation at the PBE level of DFT.

Calculated values
Final energy = -4.553 eV per atom
Formation energy from the elements = 119 kJ/mol of formula units
Magnetization = 0.00 μB/f.u.
Calculated volume = 33.9 Å³/atom

```
data_Tb3Pr4Dy2
_chemical_formula_sum 'Tb12 Pr16 Dy8'
_cell_length_a 15.8316
_cell_length_b 11.9933
_cell_length_c 6.4488
_cell_angle_alpha 90.00
_cell_angle_beta 94.84
_cell_angle_gamma 90.00
_space_group_name_H-M_alt 'C 1 2/c 1'
_space_group_IT_number 15
loop_
_space_group_symop_operation_xyz
'x,y,z'
'-x,-y,-z'
'-x,y,-z+1/2'
'x,-y,z+1/2'
'x+1/2,y+1/2,z'
'-x+1/2,-y+1/2,-z'
'-x+1/2,y+1/2,-z+1/2'
'x+1/2,-y+1/2,z+1/2'
loop_
_atom_site_label
_atom_site_fract_x
_atom_site_fract_y
_atom_site_fract_z
_atom_site_occupancy
Tb1 0.0000 0.0232 0.2500 1
Tb2 0.1002 0.4234 0.4181 1
Pr1 0.0616 0.2540 0.9759 1
Pr2 0.1734 0.1430 0.5826 1
Dy1 0.2484 0.3813 0.8964 1
```



Entry 9:
Computed, not measured: BaPPbO2 after structural relaxation at the PBE level of DFT.

Calculated values
Final energy = -4.274 eV per atom
Magnetization = 0.72 μB/f.u.
Calculated volume = 26.6 Å³/atom
Formation energy without anion corrections = -0.08 eV/atom

```
data_BaPPbO2
_chemical_formula_sum 'Ba1 P1 Pb1 O2'
_cell_length_a 4.5408
_cell_length_b 4.5408
_cell_length_c 6.4411
_cell_angle_alpha 90.00
_cell_angle_beta 90.00
_cell_angle_gamma 90.00
_space_group_name_H-M_alt 'P 4/m m m'
_space_group_IT_number 123
_space_group_name_Hall '-P 4 2'
loop_
_atom_site_label
_atom_site_fract_x
_atom_site_fract_y
_atom_site_fract_z
_atom_site_occupancy
Ba1 0.0000 0.0000 0.0000 1
P1 0.0000 0.0000 0.5000 1
Pb1 0.5000 0.5000 0.5000 1
O1 0.0000 0.5000 0.0000 1
```



Entry 10:
Computed, not measured: SrGe2Ir after structural relaxation at the PBE level of DFT.

Calculated values
Final energy = -5.255 eV per atom
Formation energy from the elements = -120 kJ/mol of formula units
Magnetization = 0.00 μB/f.u.
Calculated volume = 26.4 Å³/atom

```
data_SrGe2Ir
_chemical_formula_sum 'Sr4 Ge8 Ir4'
_cell_length_a 5.0918
_cell_length_b 5.0918
_cell_length_c 16.3116
_cell_angle_alpha 90.00
_cell_angle_beta 90.00
_cell_angle_gamma 90.00
_space_group_name_H-M_alt 'I 41/a m d'
_space_group_IT_number 141
loop_
_space_group_symop_operation_xyz
'x,y,z'
'-x,-y,-z'
'-y+1/4,x+3/4,z+1/4'
'y+1/4,-x+3/4,-z+1/4'
'-x+1/2,-y,z+1/2'
'x+1/2,y,-z+1/2'
'y+1/4,-x+1/4,z+3/4'
'-y+1/4,x+1/4,-z+3/4'
'x,-y,-z'
'-x,y,z'
'-y+1/4,-x+1/4,-z+3/4'
'y+1/4,x+1/4,z+3/4'
'-x+1/2,y,-z+1/2'
'x+1/2,-y,z+1/2'
'y+1/4,x+3/4,-z+1/4'
'-y+1/4,-x+3/4,z+1/4'
'x+1/2,y+1/2,z+1/2'
'-x+1/2,-y+1/2,-z+1/2'
'-y+3/4,x+1/4,z+3/4'
'y+3/4,-x+1/4,-z+3/4'
'-x,-y+1/2,z'
'x,y+1/2,-z'
'y+3/4,-x+3/4,z+1/4'
'-y+3/4,x+3/4,-z+1/4'
'x+1/2,-y+1/2,-z+1/2'
'-x+1/2,y+1/2,z+1/2'
'-y+3/4,-x+3/4,-z+1/4'
'y+3/4,x+3/4,z+1/4'
'-x,y+1/2,-z'
'x,-y+1/2,z'
'y+3/4,x+1/4,-z+3/4'
'-y+3/4,-x+1/4,z+3/4'
loop_
_atom_site_label
_atom_site_fract_x
_atom_site_fract_y
_atom_site_fract_z
_atom_site_occupancy
Sr1 0.0000 0.2500 0.3750 1
Ge1 0.0000 0.0000 0.0000 1
Ir1 0.0000 0.2500 0.8750 1
```



Entry 11:
Computed, not measured: Nd4SnGe2 after structural relaxation at the PBE level of DFT.

Calculated values
Final energy = -5.392 eV per atom
Formation energy from the elements = -524 kJ/mol of formula units
Magnetization = 0.00 μB/f.u.
Calculated volume = 29.1 Å³/atom

```
data_Nd4SnGe2
_chemical_formula_sum 'Nd16 Sn4 Ge8'
_cell_length_a 9.3573
_cell_length_b 9.3573
_cell_length_c 9.2929
_cell_angle_alpha 90.00
_cell_angle_beta 90.00
_cell_angle_gamma 90.00
_space_group_name_H-M_alt 'I -4 2 d'
_space_group_IT_number 122
_space_group_name_Hall 'I -4 2bw'
loop_
_atom_site_label
_atom_site_fract_x
_atom_site_fract_y
_atom_site_fract_z
_atom_site_occupancy
Nd1 0.0664 0.6782 0.4353 1
Sn1 0.0000 0.0000 0.5000 1
Ge1 0.1271 0.7500 0.1250 1
```



Entry 12:
Computed, not measured: LaHoCd6 after structural relaxation at the PBE level of DFT.

Calculated values
Final energy = -2.156 eV per atom
Formation energy from the elements = -217 kJ/mol of formula units
Magnetization = 0.00 μB/f.u.
Calculated volume = 25.0 Å³/atom

```
data_LaHoCd6
_chemical_formula_sum 'La2 Ho2 Cd12'
_cell_length_a 4.9384
_cell_length_b 7.2610
_cell_length_c 11.1612
_cell_angle_alpha 90.00
_cell_angle_beta 90.00
_cell_angle_gamma 90.00
_space_group_name_H-M_alt 'A m m 2'
_space_group_IT_number 38
loop_
_space_group_symop_operation_xyz
'x,y,z'
'-x,-y,z'
'-x,y,z'
'x,-y,z'
'x,y+1/2,z+1/2'
'-x,-y+1/2,z+1/2'
'-x,y+1/2,z+1/2'
'x,-y+1/2,z+1/2'
loop_
_atom_site_label
_atom_site_fract_x
_atom_site_fract_y
_atom_site_fract_z
_atom_site_occupancy
La1 0.0000 0.0000 0.0000 1
Ho1 0.5000 0.0000 0.7220 1
Cd1 0.0000 0.0000 0.5382 1
Cd2 0.0000 0.2171 0.2678 1
Cd3 0.5000 0.0000 0.1950 1
Cd4 0.5000 0.2110 0.4534 1
```